Computed, not measured: an optimized crystal structure of NdGdZnNi at the GGA-PBE level of DFT.

abc: 5.0282 5.0282 5.0282
angles: 60.00 60.00 60.00
With the nearest neighbours (Å) after each atom.
Element x y z (fractional)
Nd: 0.0000 0.0000 0.0000  4 Ni 3.08, 4 Zn 3.08
Gd: 0.5000 0.5000 0.5000  4 Ni 3.08, 4 Zn 3.08
Zn: 0.2500 0.2500 0.2500  4 Gd 3.08, 4 Nd 3.08
Ni: 0.7500 0.7500 0.7500  4 Gd 3.08, 4 Nd 3.08

**Formation enthalpy at 0 K**: -0.272 eV per atom
**Magnetization**: 1.79 μB/atom



Computed, not measured: an optimized crystal structure of ReSiPb2 at the GGA-PBE level of DFT.

abc: 5.0060 5.0060 3.4080
angles: 90.08 90.08 101.01
With the nearest neighbours (Å) after each atom.
Element x y z (fractional)
Re: 0.0000 0.0000 0.0000  8 Pb 3.03, 2 Si 3.18
Si: 0.5000 0.5000 0.0000  8 Pb 3.03, 2 Re 3.18
Pb: 0.0000 0.5000 0.5000  4 Si 3.03, 4 Re 3.03, 2 Pb 3.18
Pb: 0.5000 0.0000 0.5000  4 Si 3.03, 4 Re 3.03, 2 Pb 3.18

**Magnetization**: 0.00 μB/atom
**Energy relative to the elements, uncorrected**: 1.0927 eV per atom



Computed, not measured: an optimized crystal structure of Pr6TlIr2 at the GGA-PBE level of DFT.

abc: 6.0965 6.0965 9.5814
angles: 102.32 102.32 48.62
With the nearest neighbours (Å) after each atom.
Element x y z (fractional)
Pr: 0.0282 0.0282 0.3488  3 Pr 3.11-3.24, 4 Ir 3.13-3.43, 1 Tl 3.28
Pr: 0.2901 0.2901 0.6644  3 Ir 2.86-3.11
Pr: 0.3345 0.3345 0.1110  1 Ir 2.76
Pr: 0.6655 0.6655 0.8890  1 Ir 2.76
Pr: 0.7099 0.7099 0.3356  3 Ir 2.86-3.11
Pr: 0.9718 0.9718 0.6512  3 Pr 3.11-3.24, 4 Ir 3.13-3.43, 1 Tl 3.28
Tl: 0.0000 0.0000 0.0000  8 Pr 3.28-3.62
Ir: 0.3781 0.3781 0.4067  2 Pr 2.76-2.86, 1 Ir 2.88
Ir: 0.6219 0.6219 0.5933  2 Pr 2.76-2.86, 1 Ir 2.88

**Formation enthalpy at 0 K**: -0.381 eV per atom
**Magnetization**: 0.00 μB/atom
**ΔE to the lowest computed polymorph**: 1.51 kcal/mol of atoms



Computed, not measured: an optimized crystal structure of Li2Co2Au at the GGA-PBE level of DFT.

abc: 4.8088 4.8088 4.8088
angles: 124.86 124.86 81.77
With the nearest neighbours (Å) after each atom.
Element x y z (fractional)
Li: 0.2500 0.7500 0.5000  4 Co 2.36
Li: 0.7500 0.2500 0.5000  4 Co 2.36
Co: 0.1428 0.1428 0.0000  1 Co 2.08
Co: 0.8572 0.8572 0.0000  1 Co 2.08
Au: 0.5000 0.5000 0.0000  2 Co 2.60, 8 Li 2.87

**Formation enthalpy at 0 K**: 0.475 eV per atom
**Magnetization**: 0.65 μB/atom
**ΔE to the lowest computed polymorph**: 6.19 kcal/mol of atoms



Computed, not measured: an optimized crystal structure of LiCa3Ac12 at the GGA-PBE level of DFT.

abc: 5.5726 5.5726 22.1744
angles: 90.00 90.00 90.00
With the nearest neighbours (Å) after each atom.
Element x y z (fractional)
Li: 0.0000 0.0000 0.0000  12 Ac 3.85-3.94
Ca: 0.0000 0.0000 0.2460  12 Ac 3.94-3.96
Ca: 0.0000 0.0000 0.5000  12 Ac 3.94-3.96
Ca: 0.0000 0.0000 0.7540  12 Ac 3.94-3.96
Ac: 0.0000 0.5000 0.1199  8 Ac 3.85-3.95, 2 Li 3.85, 2 Ca 3.95
Ac: 0.0000 0.5000 0.3731  8 Ac 3.94-3.96, 4 Ca 3.96
Ac: 0.0000 0.5000 0.6269  8 Ac 3.94-3.96, 4 Ca 3.96
Ac: 0.0000 0.5000 0.8801  8 Ac 3.85-3.95, 2 Li 3.85, 2 Ca 3.95
Ac: 0.5000 0.0000 0.1199  8 Ac 3.85-3.95, 2 Li 3.85, 2 Ca 3.95
Ac: 0.5000 0.0000 0.3731  8 Ac 3.94-3.96, 4 Ca 3.96
Ac: 0.5000 0.0000 0.6269  8 Ac 3.94-3.96, 4 Ca 3.96
Ac: 0.5000 0.0000 0.8801  8 Ac 3.85-3.95, 2 Li 3.85, 2 Ca 3.95
Ac: 0.5000 0.5000 0.0000  8 Ac 3.85, 4 Li 3.94
Ac: 0.5000 0.5000 0.2461  4 Ca 3.94, 8 Ac 3.95-3.96
Ac: 0.5000 0.5000 0.5000  4 Ca 3.94, 8 Ac 3.96
Ac: 0.5000 0.5000 0.7539  4 Ca 3.94, 8 Ac 3.95-3.96

**Formation enthalpy at 0 K**: 0.057 eV per atom
**Magnetization**: 0.00 μB/atom



Computed, not measured: an optimized crystal structure of MnWCl at the GGA-PBE level of DFT.

abc: 4.6109 4.6109 4.6109
angles: 144.54 126.70 65.66
With the nearest neighbours (Å) after each atom.
Element x y z (fractional)
Mn: 0.0000 0.0000 0.0000  1 Cl 2.38
W: 0.6537 0.6537 0.0000  5 Mn 2.68-2.77, 5 Cl 2.69-2.77, 2 W 2.81
Cl: 0.3070 0.3070 0.0000  1 Mn 2.38

**Magnetization**: 0.61 μB/atom
**ΔE to the lowest computed polymorph**: 13.02 kcal/mol of atoms
**Energy relative to the elements, uncorrected**: 0.9121 eV per atom



Computed, not measured: an optimized crystal structure of PAu3I at the GGA-PBE level of DFT.

abc: 4.8900 4.8900 4.8900
angles: 90.00 90.00 90.00
With the nearest neighbours (Å) after each atom.
Element x y z (fractional)
P: 0.0000 0.0000 0.0000  6 Au 2.45
Au: 0.0000 0.0000 0.5000  2 P 2.45
Au: 0.0000 0.5000 0.0000  2 P 2.45
Au: 0.5000 0.0000 0.0000  2 P 2.45
I: 0.5000 0.5000 0.5000  12 Au 3.46

**Magnetization**: 0.00 μB/atom
**ΔE to the lowest computed polymorph**: 0.00 kcal/mol of atoms
**Energy relative to the elements, uncorrected**: 0.3006 eV per atom



Computed, not measured: an optimized crystal structure of Sc2InBr at the GGA-PBE level of DFT.

abc: 5.0886 5.0886 5.0886
angles: 60.00 60.00 60.00
With the nearest neighbours (Å) after each atom.
Element x y z (fractional)
Sc: 0.2500 0.2500 0.2500  4 In 3.12, 4 Br 3.12
Sc: 0.7500 0.7500 0.7500  4 In 3.12, 4 Br 3.12
In: 0.0000 0.0000 0.0000  8 Sc 3.12
Br: 0.5000 0.5000 0.5000  8 Sc 3.12

**Magnetization**: 0.00 μB/atom
**ΔE to the lowest computed polymorph**: 6.13 kcal/mol of atoms
**Energy relative to the elements, uncorrected**: -0.3442 eV per atom



Computed, not measured: an optimized crystal structure of BeInSiSb2 at the GGA-PBE level of DFT.

abc: 5.6487 5.6487 4.9740
angles: 90.00 90.00 90.00
With the nearest neighbours (Å) after each atom.
Element x y z (fractional)
Be: 0.0000 0.0000 0.0000  8 Sb 3.76, 4 Si 3.99
In: 0.5000 0.5000 0.5000  2 Si 2.49
Si: 0.5000 0.5000 0.0000  2 In 2.49
Sb: 0.0000 0.5000 0.5000  2 In 2.82
Sb: 0.5000 0.0000 0.5000  2 In 2.82

**Magnetization**: 0.00 μB/atom
**Energy relative to the elements, uncorrected**: 1.4590 eV per atom



Computed, not measured: an optimized crystal structure of ZnMo2HRh at the GGA-PBE level of DFT.

abc: 3.8614 3.8614 4.1793
angles: 90.00 90.00 90.00
With the nearest neighbours (Å) after each atom.
Element x y z (fractional)
Zn: 0.0000 0.0000 0.0000  4 Rh 2.73, 8 Mo 2.85
Mo: 0.0000 0.5000 0.5000  2 H 1.93
Mo: 0.5000 0.0000 0.5000  2 H 1.93
H: 0.5000 0.5000 0.5000  4 Mo 1.93, 2 Rh 2.09
Rh: 0.5000 0.5000 0.0000  2 H 2.09

**Magnetization**: 0.00 μB/atom
**Uncorrected energy**: -6.677 eV per atom



Computed, not measured: an optimized crystal structure of MnCoPt6 at the GGA-PBE level of DFT.

abc: 3.9040 3.9040 7.8580
angles: 90.00 90.00 90.00
With the nearest neighbours (Å) after each atom.
Element x y z (fractional)
Mn: 0.0000 0.0000 0.0000  12 Pt 2.76-2.79
Co: 0.0000 0.0000 0.5000  12 Pt 2.75-2.76
Pt: 0.0000 0.5000 0.2533  2 Co 2.75, 8 Pt 2.75-2.79, 2 Mn 2.79
Pt: 0.0000 0.5000 0.7467  2 Co 2.75, 8 Pt 2.75-2.79, 2 Mn 2.79
Pt: 0.5000 0.0000 0.2533  2 Co 2.75, 8 Pt 2.75-2.79, 2 Mn 2.79
Pt: 0.5000 0.0000 0.7467  2 Co 2.75, 8 Pt 2.75-2.79, 2 Mn 2.79
Pt: 0.5000 0.5000 0.0000  4 Mn 2.76, 8 Pt 2.79
Pt: 0.5000 0.5000 0.5000  8 Pt 2.75, 4 Co 2.76

**Formation enthalpy at 0 K**: -0.200 eV per atom
**Magnetization**: 0.94 μB/atom
**ΔE to the lowest computed polymorph**: 0.00 kcal/mol of atoms



Computed, not measured: an optimized crystal structure of SrCaCl at the GGA-PBE level of DFT.

abc: 5.3340 5.3340 5.3340
angles: 60.00 60.00 60.00
With the nearest neighbours (Å) after each atom.
Element x y z (fractional)
Sr: 0.0000 0.0000 0.0000  4 Cl 3.27
Ca: 0.5000 0.5000 0.5000  4 Cl 3.27
Cl: 0.2500 0.2500 0.2500  4 Ca 3.27, 4 Sr 3.27

**Magnetization**: 0.29 μB/atom
**ΔE to the lowest computed polymorph**: 10.22 kcal/mol of atoms
**Energy relative to the elements, uncorrected**: -0.6111 eV per atom



Repeat the first record exactly.
Computed, not measured: an optimized crystal structure of NdGdZnNi at the GGA-PBE level of DFT.

abc: 5.0282 5.0282 5.0282
angles: 60.00 60.00 60.00
With the nearest neighbours (Å) after each atom.
Element x y z (fractional)
Nd: 0.0000 0.0000 0.0000  4 Ni 3.08, 4 Zn 3.08
Gd: 0.5000 0.5000 0.5000  4 Ni 3.08, 4 Zn 3.08
Zn: 0.2500 0.2500 0.2500  4 Gd 3.08, 4 Nd 3.08
Ni: 0.7500 0.7500 0.7500  4 Gd 3.08, 4 Nd 3.08

**Formation enthalpy at 0 K**: -0.272 eV per atom
**Magnetization**: 1.79 μB/atom